# 1
VASP calculation (PBE) on a geometry-optimized CdFeRe2 structure.

The structure belongs to space group P4/mmm (No. 123); the cell edges are 3.796, 3.796 and 4.218 Å and the angles 90.00°, 90.00° and 90.00°. Symmetry generates all atoms from Cd at (0.000, 0.000, 0.000), Fe at (0.500, 0.500, 0.000) and Re at (0.000, 0.500, 0.500).

As for the density: 14.8 g/cm³. The density of states at the Fermi level comes out at 3.678 states/eV/f.u. Its calculated formation energy is 0.6172 eV/atom. The total moment is 2.40 μB per cell.

=====

# 2
VASP calculation (PBE) on a geometry-optimized CdFeRe2 structure.

The structure belongs to space group R-3m (No. 166, hexagonal axes); the cell edges are 2.7546, 2.7546 and 27.6801 Å and the angles 90.00°, 90.00° and 120.00°. Symmetry generates all atoms from Cd at (0.0000, 0.0000, 0.0000), Fe at (0.0000, 0.0000, 0.5000) and Re at (0.0000, 0.0000, 0.2402).

As for the density: 14.8 g/cm³. The density of states at the Fermi level comes out at 1.525 states/eV/f.u. Its calculated formation energy is 0.3491 eV/atom. The total moment is 3.54 μB per cell.